Model A:
DFT (PBE-GGA) results for crystalline CoC2 at its relaxed geometry.

Cell lengths 4.8076, 4.8076, 4.8076 Å; angles 30.11, 30.11, 30.11 degrees
Last column: nearest neighbours and their distance in Å.
Atoms (fractional coordinates):
C  0.1600  0.1600  0.1600  3 C 1.45
C  0.8400  0.8400  0.8400  3 C 1.45
Co  0.0000  0.0000  0.0000  2 C 2.20

Properties
**Symmetry**: No. 166
**D(E_F)**: 1.6 states/eV/f.u.

=====

Model B:
DFT (PBE-GGA) results for crystalline CoC2 at its relaxed geometry.

Cell lengths 3.8593, 3.8593, 3.8593 Å; angles 112.77, 112.77, 103.06 degrees
Last column: nearest neighbours and their distance in Å.
Atoms (fractional coordinates):
Co  0.7500  0.7500  0.0000  8 C 2.08
Co  0.2500  0.2500  0.0000  8 C 2.08
C  0.3804  0.1196  0.5000  1 C 1.45
C  0.6196  0.8804  0.5000  1 C 1.45
C  0.1196  0.6196  0.7392  1 C 1.45
C  0.8804  0.3804  0.2608  1 C 1.45

Properties
**Symmetry**: No. 140
**D(E_F)**: 0.7 states/eV/f.u.

=====

Model C:
DFT (PBE-GGA) results for crystalline CoC2 at its relaxed geometry.

Cell lengths 2.5069, 2.5069, 3.3387 Å; angles 90.00, 90.00, 90.00 degrees
Last column: nearest neighbours and their distance in Å.
Atoms (fractional coordinates):
C  0.0000  0.5000  0.5000  4 C 1.77
C  0.5000  0.0000  0.5000  4 C 1.77
Co  0.0000  0.0000  0.0000  8 C 2.09

Properties
**Symmetry**: No. 123
**D(E_F)**: 1.6 states/eV/f.u.

=====

Model D:
DFT (PBE-GGA) results for crystalline CoC2 at its relaxed geometry.

Cell lengths 7.5465, 7.5465, 7.5465 Å; angles 161.06, 149.38, 36.26 degrees
Last column: nearest neighbours and their distance in Å.
Atoms (fractional coordinates):
Co  0.7876  0.5376  0.2500  2 C 1.79
Co  0.2124  0.4624  0.7500  2 C 1.79
C  0.1227  0.8727  0.2500  1 C 1.40
C  0.8773  0.1273  0.7500  1 C 1.40
C  0.0251  0.7751  0.2500  3 C 1.40-1.44
C  0.9749  0.2249  0.7500  3 C 1.40-1.44

Properties
**Symmetry**: No. 74
**D(E_F)**: 2.3 states/eV/f.u.

=====

Most stable = model A

=====

Model A:
DFT (PBE-GGA) results for crystalline CoC2 at its relaxed geometry.

Cell lengths 13.7312, 13.7312, 13.7312 Å; angles 169.51, 169.51, 14.86 degrees
Last column: nearest neighbours and their distance in Å.
Atoms (fractional coordinates):
C  0.7508  0.7508  0.0000  4 C 1.78
C  0.2492  0.2492  0.0000  4 C 1.78
C  0.0008  0.5008  0.5000  4 C 1.78
C  0.4992  0.9992  0.5000  4 C 1.78
C  0.6106  0.6106  0.0000  2 C 1.48
C  0.3894  0.3894  0.0000  2 C 1.48
C  0.8606  0.3606  0.5000  2 C 1.48
C  0.6394  0.1394  0.5000  2 C 1.48
Co  0.9373  0.9373  0.0000  8 C 2.10-2.20
Co  0.0627  0.0627  0.0000  8 C 2.10-2.20
Co  0.1873  0.6873  0.5000  8 C 2.10-2.20
Co  0.3127  0.8127  0.5000  8 C 2.10-2.20

Properties
**Symmetry**: No. 141
**D(E_F)**: 1.6 states/eV/f.u.

=====

Model B:
DFT (PBE-GGA) results for crystalline CoC2 at its relaxed geometry.

Cell lengths 4.0646, 4.0646, 4.0646 Å; angles 60.00, 60.00, 60.00 degrees
Last column: nearest neighbours and their distance in Å.
Atoms (fractional coordinates):
Co  0.5000  0.5000  0.5000  12 C 2.38, 4 Co 2.49
Co  0.7500  0.7500  0.7500  12 C 2.38, 4 Co 2.49
C  0.6250  0.1250  0.1250  6 C 2.03
C  0.1250  0.6250  0.1250  6 C 2.03
C  0.1250  0.1250  0.6250  6 C 2.03
C  0.1250  0.1250  0.1250  6 C 2.03

Properties
**Symmetry**: No. 227
**D(E_F)**: 3.1 states/eV/f.u.

=====

Model C:
DFT (PBE-GGA) results for crystalline CoC2 at its relaxed geometry.

Cell lengths 3.2677, 3.2677, 4.1868 Å; angles 90.00, 90.00, 90.00 degrees
Last column: nearest neighbours and their distance in Å.
Atoms (fractional coordinates):
Co  0.5000  0.0000  0.6003  1 C 1.93
Co  0.0000  0.5000  0.3997  1 C 1.93
C  0.0000  0.0000  0.0000  4 C 1.73
C  0.5000  0.5000  0.0000  4 C 1.73
C  0.5000  0.0000  0.1390  4 C 1.73, 1 Co 1.93
C  0.0000  0.5000  0.8610  4 C 1.73, 1 Co 1.93

Properties
**Symmetry**: No. 129
**D(E_F)**: 1.9 states/eV/f.u.

=====

Model D:
DFT (PBE-GGA) results for crystalline CoC2 at its relaxed geometry.

Cell lengths 7.2086, 7.2086, 2.5346 Å; angles 90.00, 90.00, 159.95 degrees
Last column: nearest neighbours and their distance in Å.
Atoms (fractional coordinates):
Co  0.6162  0.3838  0.0000  6 C 1.98-2.08
Co  0.3838  0.6162  0.0000  6 C 1.98-2.08
C  0.0000  0.0000  0.0000  4 C 1.78
C  0.5000  0.5000  0.5000  4 C 1.78
C  0.7236  0.2764  0.5000  2 C 1.46
C  0.2764  0.7236  0.5000  2 C 1.46

Properties
**Symmetry**: No. 65
**D(E_F)**: 1.9 states/eV/f.u.

=====

Most stable = model D

=====

Model A:
DFT (PBE-GGA) results for crystalline CoC2 at its relaxed geometry.

Cell lengths 4.6797, 4.6797, 4.4317 Å; angles 90.00, 90.00, 120.00 degrees
Last column: nearest neighbours and their distance in Å.
Atoms (fractional coordinates):
Co  0.0000  0.0000  0.0000  6 C 1.87
Co  0.3333  0.6667  0.5000  6 C 1.92
Co  0.6667  0.3333  0.5000  6 C 1.92
C  0.3084  0.3084  0.7300  3 Co 1.87-1.92
C  0.6916  0.0000  0.7300  3 Co 1.87-1.92
C  0.0000  0.6916  0.7300  3 Co 1.87-1.92
C  0.0000  0.3084  0.2700  3 Co 1.87-1.92
C  0.3084  0.0000  0.2700  3 Co 1.87-1.92
C  0.6916  0.6916  0.2700  3 Co 1.87-1.92

Properties
**Symmetry**: No. 162
**D(E_F)**: 2.1 states/eV/f.u.

=====

Model B:
DFT (PBE-GGA) results for crystalline CoC2 at its relaxed geometry.

Cell lengths 4.6402, 4.6402, 4.6402 Å; angles 138.21, 138.21, 60.58 degrees
Last column: nearest neighbours and their distance in Å.
Atoms (fractional coordinates):
Co  0.0000  0.0000  0.0000  4 C 2.08
Co  0.7500  0.2500  0.5000  4 C 2.08
C  0.5934  0.5934  0.0000  1 C 1.50
C  0.1567  0.6566  0.5000  1 C 1.50
C  0.4066  0.4066  0.0000  1 C 1.50
C  0.3434  0.8434  0.5000  1 C 1.50

Properties
**Symmetry**: No. 141
**D(E_F)**: 1.8 states/eV/f.u.

=====

Most stable = model B